Computed, not measured: a relaxed structure of Ho2TlN at the PBE level of DFT.

- energy (eV per cell) = -21.6

Cell: 3.122 3.122 7.911 Å, 90.00 90.00 90.00°
Space group P4/mmm (No. 123)
One atom of each set of equivalent atoms:
Ho: 0.000 0.000 0.180 (multiplicity 2)
Tl: 0.500 0.500 0.500 (multiplicity 1)
N: 0.500 0.500 0.000 (multiplicity 1)

=====

Computed, not measured: a relaxed structure of LiPm2AlGa6 at the PBE level of DFT.

- energy (eV per cell) = -218.3

Cell: 6.3635 6.3635 35.1346 Å, 90.00 90.00 120.00°
Space group R-3m (No. 166, hexagonal axes)
One atom of each set of equivalent atoms:
Li: 0.0000 0.0000 0.0000 (multiplicity 3)
Li: 0.0000 0.0000 0.5000 (multiplicity 3)
Pm: 0.0000 0.0000 0.1114 (multiplicity 6)
Pm: 0.0000 0.0000 0.2915 (multiplicity 6)
Al: 0.0000 0.0000 0.4282 (multiplicity 6)
Ga: 0.0356 0.5178 0.2960 (multiplicity 18)
Ga: 0.0692 0.5346 0.8695 (multiplicity 18)

=====

Computed, not measured: a relaxed structure of KBaTl14 at the PBE level of DFT.

- energy (eV per cell) = -74.1

Cell: 11.105 8.264 11.401 Å, 90.00 90.00 90.00°
Space group Amm2 (No. 38)
One atom of each set of equivalent atoms:
K: 0.000 0.000 0.000 (multiplicity 2)
Ba: 0.000 0.000 0.414 (multiplicity 2)
Tl: 0.000 0.192 0.705 (multiplicity 4)
Tl: 0.253 0.000 0.794 (multiplicity 4)
Tl: 0.262 0.220 0.527 (multiplicity 8)
Tl: 0.269 0.000 0.244 (multiplicity 4)
Tl: 0.500 0.000 0.001 (multiplicity 2)
Tl: 0.500 0.000 0.458 (multiplicity 2)
Tl: 0.500 0.219 0.731 (multiplicity 4)

=====

Computed, not measured: a relaxed structure of LaTlAg3 at the PBE level of DFT.

- relative energy among the computed polymorphs (eV/atom) = 0.3201

Cell: 5.231 5.231 5.231 Å, 90.00 90.00 90.00°
Space group Pm-3m (No. 221)
One atom of each set of equivalent atoms:
La: 0.000 0.000 0.000 (multiplicity 1)
Tl: 0.500 0.500 0.500 (multiplicity 1)
Ag: 0.000 0.500 0.500 (multiplicity 3)

=====

Computed, not measured: a relaxed structure of Ce2ZrCo3H12 at the PBE level of DFT.

- energy (eV per cell) = -261.0

Cell: 6.1435 6.1435 13.6909 Å, 90.00 90.00 120.00°
Space group R-3m (No. 166, hexagonal axes)
One atom of each set of equivalent atoms:
Ce: 0.0000 0.0000 0.0991 (multiplicity 6)
Zr: 0.0000 0.0000 0.5000 (multiplicity 3)
Co: 0.0000 0.5000 0.0000 (multiplicity 9)
H: 0.0326 0.5163 0.8844 (multiplicity 18)
H: 0.0699 0.5350 0.3150 (multiplicity 18)

=====

Computed, not measured: a relaxed structure of Pm5SmSb4 at the PBE level of DFT.

- energy (eV per cell) = -105.7

Cell: 19.138 4.405 8.671 Å, 90.00 105.39 90.00°
Space group C2/m (No. 12)
One atom of each set of equivalent atoms:
Pm: 0.000 0.000 0.000 (multiplicity 2)
Pm: 0.163 0.500 0.330 (multiplicity 4)
Pm: 0.174 0.500 0.848 (multiplicity 4)
Sm: 0.000 0.000 0.500 (multiplicity 2)
Sb: 0.006 0.500 0.755 (multiplicity 4)
Sb: 0.169 0.000 0.590 (multiplicity 4)

=====

Computed, not measured: a relaxed structure of La2Tb6Dy3Er at the PBE level of DFT.

- energy (eV per cell) = -111.5

Cell: 6.210 10.755 11.882 Å, 90.00 100.02 90.00°
Space group C2/m (No. 12)
One atom of each set of equivalent atoms:
La: 0.000 0.166 0.000 (multiplicity 4)
Tb: 0.247 0.500 0.746 (multiplicity 4)
Tb: 0.249 0.166 0.746 (multiplicity 8)
Dy: 0.000 0.000 0.500 (multiplicity 2)
Dy: 0.000 0.334 0.500 (multiplicity 4)
Er: 0.000 0.500 0.000 (multiplicity 2)

=====

Computed, not measured: a relaxed structure of Ce6Si3H2 at the PBE level of DFT.

- energy (eV per cell) = -126.5

Cell: 4.493 4.493 24.034 Å, 90.00 90.00 90.00°
Space group I4/mmm (No. 139)
One atom of each set of equivalent atoms:
Ce: 0.000 0.000 0.204 (multiplicity 4)
Ce: 0.000 0.500 0.080 (multiplicity 8)
Si: 0.000 0.000 0.330 (multiplicity 4)
Si: 0.000 0.000 0.500 (multiplicity 2)
H: 0.000 0.000 0.107 (multiplicity 4)

=====

Computed, not measured: a relaxed structure of MgCr at the PBE level of DFT.

- relative energy among the computed polymorphs (eV/atom) = 0.2032

Cell: 8.256 8.256 4.348 Å, 90.00 90.00 90.00°
Space group P4/m (No. 83)
One atom of each set of equivalent atoms:
Mg: 0.084 0.655 0.000 (multiplicity 4)
Mg: 0.129 0.252 0.500 (multiplicity 4)
Cr: 0.310 0.553 0.500 (multiplicity 4)
Cr: 0.324 0.407 0.000 (multiplicity 4)

=====

Computed, not measured: a relaxed structure of Cu2Pd2Au3 at the PBE level of DFT.

- relative energy among the computed polymorphs (eV/atom) = 0.1088

Cell: 4.991 9.912 5.194 Å, 90.00 118.39 90.00°
Space group P2_1/c (No. 14)
One atom of each set of equivalent atoms:
Cu: 0.118 0.199 0.399 (multiplicity 4)
Pd: 0.373 0.717 0.598 (multiplicity 4)
Au: 0.155 0.040 0.840 (multiplicity 4)
Au: 0.500 0.000 0.500 (multiplicity 2)

=====

Computed, not measured: a relaxed structure of Ca2LaPb at the PBE level of DFT.

- energy (eV per cell) = -27.3

Cell: 4.752 5.319 10.836 Å, 90.00 90.00 90.00°
Space group Imm2 (No. 44)
One atom of each set of equivalent atoms:
Ca: 0.000 0.000 0.000 (multiplicity 2)
Ca: 0.000 0.500 0.222 (multiplicity 2)
La: 0.000 0.500 0.775 (multiplicity 2)
Pb: 0.000 0.000 0.498 (multiplicity 2)

=====

Computed, not measured: a relaxed structure of AlSiAg2Te4 at the PBE level of DFT.

- energy (eV per cell) = -56.6

Cell: 6.432 6.432 12.368 Å, 90.00 90.00 90.00°
Space group I-4 (No. 82)
One atom of each set of equivalent atoms:
Al: 0.000 0.000 0.000 (multiplicity 2)
Si: 0.000 0.500 0.250 (multiplicity 2)
Ag: 0.000 0.000 0.500 (multiplicity 2)
Ag: 0.000 0.500 0.750 (multiplicity 2)
Te: 0.233 0.754 0.124 (multiplicity 8)

=====

Computed, not measured: a relaxed structure of Sc2TcSb at the PBE level of DFT.

- energy (eV per cell) = -29.2

Cell: 3.540 3.540 6.261 Å, 90.00 90.00 90.00°
Space group P4/mmm (No. 123)
One atom of each set of equivalent atoms:
Sc: 0.000 0.000 0.230 (multiplicity 2)
Tc: 0.500 0.500 0.000 (multiplicity 1)
Sb: 0.500 0.500 0.500 (multiplicity 1)

=====

Computed, not measured: a relaxed structure of CoMoOs2 at the PBE level of DFT.

- relative energy among the computed polymorphs (eV/atom) = 0.1746

Cell: 2.7113 2.7113 26.2753 Å, 90.00 90.00 120.00°
Space group R3m (No. 160, hexagonal axes)
One atom of each set of equivalent atoms:
Co: 0.0000 0.0000 0.0000 (multiplicity 3)
Mo: 0.0000 0.0000 0.7483 (multiplicity 3)
Os: 0.0000 0.0000 0.2546 (multiplicity 3)
Os: 0.0000 0.0000 0.5032 (multiplicity 3)

=====

Computed, not measured: a relaxed structure of ScBeRu3 at the PBE level of DFT.

- relative energy among the computed polymorphs (eV/atom) = 0.0000

Cell: 4.178 4.178 4.178 Å, 90.00 90.00 90.00°
Space group Pm-3m (No. 221)
One atom of each set of equivalent atoms:
Sc: 0.000 0.000 0.000 (multiplicity 1)
Be: 0.500 0.500 0.500 (multiplicity 1)
Ru: 0.000 0.500 0.500 (multiplicity 3)

=====

Computed, not measured: a relaxed structure of Nd6C2I3O at the PBE level of DFT.

- energy (eV per cell) = -139.2

Cell: 6.688 11.584 8.018 Å, 90.00 106.16 90.00°
Space group C2/m (No. 12)
One atom of each set of equivalent atoms:
Nd: 0.223 0.000 0.172 (multiplicity 4)
Nd: 0.224 0.333 0.171 (multiplicity 8)
C: 0.000 0.166 0.000 (multiplicity 4)
I: 0.000 0.000 0.500 (multiplicity 2)
I: 0.000 0.332 0.500 (multiplicity 4)
O: 0.000 0.500 0.000 (multiplicity 2)

=====

Computed, not measured: a relaxed structure of MnPOs2 at the PBE level of DFT.

- energy (eV per cell) = -35.7

Cell: 2.802 4.294 4.525 Å, 90.00 90.00 90.00°
Space group Pmmm (No. 47)
One atom of each set of equivalent atoms:
Mn: 0.000 0.000 0.000 (multiplicity 1)
P: 0.500 0.000 0.500 (multiplicity 1)
Os: 0.000 0.500 0.500 (multiplicity 1)
Os: 0.500 0.500 0.000 (multiplicity 1)

=====

Computed, not measured: a relaxed structure of Na5Bi2Te5 at the PBE level of DFT.

- energy (eV per cell) = -73.4

Cell: 14.923 4.642 12.925 Å, 90.00 106.54 90.00°
Space group C2/m (No. 12)
One atom of each set of equivalent atoms:
Na: 0.000 0.000 0.000 (multiplicity 2)
Na: 0.150 0.000 0.538 (multiplicity 4)
Na: 0.235 0.000 0.858 (multiplicity 4)
Bi: 0.055 0.500 0.278 (multiplicity 4)
Te: 0.000 0.500 0.500 (multiplicity 2)
Te: 0.113 0.500 0.912 (multiplicity 4)
Te: 0.197 0.000 0.306 (multiplicity 4)

=====

Computed, not measured: a relaxed structure of Pr8Sb3Se4 at the PBE level of DFT.

- energy (eV per cell) = -171.6

Cell: 12.389 12.398 8.745 Å, 90.00 134.81 90.00°
Space group C2/m (No. 12)
One atom of each set of equivalent atoms:
Pr: 0.000 0.245 0.000 (multiplicity 4)
Pr: 0.000 0.246 0.500 (multiplicity 4)
Pr: 0.240 0.000 0.489 (multiplicity 4)
Pr: 0.240 0.000 0.992 (multiplicity 4)
Sb: 0.000 0.500 0.500 (multiplicity 2)
Sb: 0.250 0.250 0.000 (multiplicity 4)
Se: 0.000 0.000 0.000 (multiplicity 2)
Se: 0.000 0.000 0.500 (multiplicity 2)
Se: 0.250 0.250 0.500 (multiplicity 4)

=====

Computed, not measured: a relaxed structure of FePCSe2 at the PBE level of DFT.

- energy (eV per cell) = -23.3

Cell: 4.529 4.529 3.575 Å, 90.00 90.00 90.00°
Space group P4/mmm (No. 123)
One atom of each set of equivalent atoms:
Fe: 0.000 0.000 0.000 (multiplicity 1)
P: 0.500 0.500 0.000 (multiplicity 1)
C: 0.500 0.500 0.500 (multiplicity 1)
Se: 0.000 0.500 0.500 (multiplicity 2)

=====

Number 1: density of states at the Fermi level 2.3 states/eV per cell. Number 2: density of states at the Fermi level 29.7 states/eV per cell. Number 3: density of states at the Fermi level 20.0 states/eV per cell. Number 4: density of states at the Fermi level 4.6 states/eV per cell. Number 5: density of states at the Fermi level 40.5 states/eV per cell. Number 6: density of states at the Fermi level 13.8 states/eV per cell. Number 7: density of states at the Fermi level 32.4 states/eV per cell. Number 8: density of states at the Fermi level 52.8 states/eV per cell. Number 9: density of states at the Fermi level 10.6 states/eV per cell. Number 10: density of states at the Fermi level 6.7 states/eV per cell. Number 11: density of states at the Fermi level 7.7 states/eV per cell. Number 12: density of states at the Fermi level 9.5 states/eV per cell. Number 13: density of states at the Fermi level 2.1 states/eV per cell. Number 14: density of states at the Fermi level 10.6 states/eV per cell. Number 15: density of states at the Fermi level 5.1 states/eV per cell. Number 16: density of states at the Fermi level 7.0 states/eV per cell. Number 17: density of states at the Fermi level 3.9 states/eV per cell. Number 18: density of states at the Fermi level 9.1 states/eV per cell. Number 19: density of states at the Fermi level 14.7 states/eV per cell. Number 20: density of states at the Fermi level 4.2 states/eV per cell.